DFT (PBE) results for crystalline K2DyAlSe4 at its relaxed geometry.

Cell: 8.483 8.483 8.483 Å, 121.86 118.63 89.60°
Positions (direct):
K 0.000 0.000 0.000
K 0.500 0.000 0.000
K 0.500 0.000 0.500
K 0.500 0.500 0.500
Dy 0.000 0.500 0.500
Dy 0.500 0.500 0.000
Al 0.000 0.000 0.500
Al 0.000 0.500 0.000
Se 0.193 0.741 0.452
Se 0.211 0.259 0.952
Se 0.227 0.247 0.520
Se 0.227 0.706 0.980
Se 0.773 0.294 0.020
Se 0.773 0.753 0.480
Se 0.789 0.741 0.048
Se 0.807 0.259 0.548

Calculated values
size of the total moment: 0.0 μB per cell
ΔE_f (raw): -1.275 eV per atom